Record 1
An optimized crystal structure of KUAuSe4, computed with GGA-PBE.

Output
Volume   28.35 Å³ per atom
E_tot   -35.1 eV/f.u.
Uncorrected formation energy   -0.779 eV/atom
Fermi-level density of states   5.6 states/eV/cell

Cell and atoms, written as POSCAR:
```
KUAuSe4
1.0
6.6057 0.0000 -1.2674
0.0000 6.7739 0.0000
-4.2533 0.0000 9.6866
Se K Au U
8 2 2 2
Direct
0.6799 0.2500 0.8247
0.4183 0.2500 0.3722
0.1313 0.9780 0.7005
0.1313 0.5220 0.7005
0.8687 0.0220 0.2995
0.5817 0.7500 0.6278
0.3201 0.7500 0.1753
0.8687 0.4780 0.2995
0.6978 0.7500 0.9696
0.3022 0.2500 0.0304
0.1876 0.7500 0.3652
0.8124 0.2500 0.6348
0.2495 0.2500 0.5502
0.7505 0.7500 0.4498
```

Record 2
An optimized crystal structure of BaCrAgGe2, computed with GGA-PBE.

Output
Volume   26.37 Å³ per atom
E_tot   -19.4 eV/f.u.
Energy relative to the elements   0.86 eV per atom
Fermi-level density of states   8.7 states/eV/cell

Cell and atoms, written as POSCAR:
```
BaCrAgGe2
1.0
-4.9716 0.2062 1.0105
-1.0385 -0.8978 -4.9261
-0.0212 -4.9944 0.9148
Ge Ba Cr Ag
2 1 1 1
Direct
0.0000 0.0000 0.5000
0.5000 0.0000 0.0000
0.5000 0.5000 0.5000
0.0000 0.5000 0.0000
0.0000 0.0000 0.0000
```